Entry 1:
Entry from the Alexandria database: a geometry-optimized CeS2 structure (GGA-PBE).

a = 8.055 Å, b = 4.031 Å, c = 7.997 Å
α = 90.00°, β = 90.17°, γ = 90.00°
Atoms (fractional coordinates):
Ce  0.222  0.219  0.130
Ce  0.222  0.281  0.630
Ce  0.778  0.719  0.370
Ce  0.778  0.781  0.870
S  0.136  0.739  0.375
S  0.136  0.761  0.875
S  0.498  0.661  0.109
S  0.498  0.839  0.609
S  0.502  0.161  0.391
S  0.502  0.339  0.891
S  0.864  0.239  0.125
S  0.864  0.261  0.625

Computed properties:
E_form (uncorrected)   -1.7012 eV/atom


Entry 2:
Entry from the Alexandria database: a geometry-optimized LiAsPSe2 structure (GGA-PBE).

a = 5.035 Å, b = 5.035 Å, c = 4.658 Å
α = 90.00°, β = 90.00°, γ = 90.00°
Atoms (fractional coordinates):
Li  0.000  0.000  0.000
As  0.500  0.500  0.000
P  0.500  0.500  0.500
Se  0.000  0.500  0.500
Se  0.500  0.000  0.500

Computed properties:
E_form (uncorrected)   0.2126 eV/atom
Energy above the lowest structure with this stoichiometry   0.000 eV per atom


Entry 3:
Entry from the Alexandria database: a geometry-optimized TaTl structure (GGA-PBE).

a = 4.018 Å, b = 4.018 Å, c = 4.018 Å
α = 60.00°, β = 60.00°, γ = 60.00°
Atoms (fractional coordinates):
Ta  0.000  0.000  0.000
Tl  0.500  0.500  0.500

Computed properties:
ΔE_f   1.201 eV/atom
Energy above the lowest structure with this stoichiometry   0.742 eV per atom


Entry 4:
Entry from the Alexandria database: a geometry-optimized PrAg2Au6 structure (GGA-PBE).

a = 5.582 Å, b = 5.582 Å, c = 7.792 Å
α = 90.00°, β = 90.00°, γ = 120.00°
Atoms (fractional coordinates):
Pr  0.000  0.000  0.000
Ag  0.333  0.667  0.500
Ag  0.667  0.333  0.500
Au  0.000  0.500  0.197
Au  0.000  0.500  0.803
Au  0.500  0.000  0.197
Au  0.500  0.000  0.803
Au  0.500  0.500  0.197
Au  0.500  0.500  0.803

Computed properties:
ΔE_f   -0.192 eV/atom


Which Fermi-level density of states belongs to each record? In order, 6.12 4.32 1.08 3.28 states/eV/f.u..
Which V belongs to each record? In order, 21.64 23.62 22.94 23.36 Å³ per atom.